Entry 1:
K4Rb8Hg3, relaxed, DFT PBE; symmetry = P-4m2; Fermi-level density of states = 11.80 states/eV/cell; uncorrected energy = -0.9435 eV/atom
1.0
-6.302 1.384 -0.185
-1.068 -4.226 4.761
3.283 17.075 15.893
K Rb Hg
4 8 3
Direct
0.500 0.000 0.413 K
0.500 0.000 0.911 K
0.000 0.500 0.089 K
0.000 0.500 0.587 K
0.500 0.000 0.089 Rb
0.500 0.000 0.590 Rb
0.000 0.500 0.410 Rb
0.000 0.500 0.911 Rb
0.500 0.500 0.255 Rb
0.500 0.500 0.745 Rb
0.000 0.000 0.248 Rb
0.000 0.000 0.752 Rb
0.500 0.500 0.500 Hg
0.000 0.000 0.000 Hg
0.000 0.000 0.500 Hg

=====

Entry 2:
KRb3Hg2, relaxed, DFT PBE; symmetry = R-3c; Fermi-level density of states = 4.60 states/eV/cell; uncorrected energy = -0.8670 eV/atom
1.0
-9.687 2.618 0.752
-4.359 1.226 8.987
-2.665 9.136 3.269
K Rb Hg
2 6 4
Direct
0.500 0.500 0.500 K
0.000 0.000 0.000 K
0.478 0.022 0.750 Rb
0.022 0.750 0.478 Rb
0.750 0.478 0.022 Rb
0.522 0.978 0.250 Rb
0.978 0.250 0.522 Rb
0.250 0.522 0.978 Rb
0.358 0.358 0.358 Hg
0.142 0.142 0.142 Hg
0.858 0.858 0.858 Hg
0.642 0.642 0.642 Hg

=====

Entry 3:
K2RbHg, relaxed, DFT PBE; symmetry = P2_1/c; Fermi-level density of states = 10.94 states/eV/cell; uncorrected energy = -0.9666 eV/atom
1.0
-2.263 0.436 -8.183
9.368 -4.634 -2.837
-9.107 -6.948 2.147
K Rb Hg
8 4 4
Direct
0.754 0.073 0.141 K
0.254 0.427 0.859 K
0.246 0.927 0.859 K
0.746 0.573 0.141 K
0.696 0.652 0.801 K
0.196 0.848 0.199 K
0.304 0.348 0.199 K
0.804 0.152 0.801 K
0.498 0.190 0.496 Rb
0.998 0.310 0.504 Rb
0.502 0.810 0.504 Rb
0.002 0.690 0.496 Rb
0.645 0.455 0.410 Hg
0.145 0.045 0.590 Hg
0.355 0.545 0.590 Hg
0.855 0.955 0.410 Hg

=====

Entry 4:
KRb6Hg, relaxed, DFT PBE; symmetry = Amm2; Fermi-level density of states = 6.45 states/eV/cell; uncorrected energy = -0.9336 eV/atom
1.0
-2.675 3.924 2.147
-7.005 -0.204 -8.357
-5.430 -7.113 6.235
K Rb Hg
1 6 1
Direct
0.500 0.377 0.623 K
0.000 0.659 0.847 Rb
0.000 0.153 0.341 Rb
0.000 0.623 0.377 Rb
0.500 0.972 0.693 Rb
0.500 0.307 0.028 Rb
0.500 0.870 0.130 Rb
0.000 0.038 0.962 Hg

=====

Formation energy (eV/atom)
-0.0744, -0.0997, -0.1005, -0.0330
Spin magnetization (Bohr magnetons per cell)
0.0, 0.0, 0.0, 0.0